Entry 1:
Here is a geometry-optimized RbMnV2S8 structure from Alexandria. Energies are from PBE.

a b c (Å): 9.8464 9.8464 9.8464
angles (deg): 36.01 36.01 36.01
With the nearest neighbours (Å) after each atom.
Element x y z (fractional)
Rb: 0.0000 0.0000 0.0000  12 S 3.55-3.85
Mn: 0.5000 0.5000 0.5000  6 S 2.35
V: 0.2382 0.2382 0.2382  4 S 2.11-2.18
V: 0.7618 0.7618 0.7618  4 S 2.11-2.18
S: 0.1377 0.7625 0.4505  1 V 2.18, 1 Mn 2.35
S: 0.2375 0.5495 0.8623  1 V 2.18, 1 Mn 2.35
S: 0.3147 0.3147 0.3147  1 V 2.11
S: 0.4505 0.1377 0.7625  1 V 2.18, 1 Mn 2.35
S: 0.5495 0.8623 0.2375  1 V 2.18, 1 Mn 2.35
S: 0.6853 0.6853 0.6853  1 V 2.11
S: 0.7625 0.4505 0.1377  1 V 2.18, 1 Mn 2.35
S: 0.8623 0.2375 0.5495  1 V 2.18, 1 Mn 2.35

For the density of states at the Fermi level, the calculation gives 0.846 states/eV/atom. Its uncorrected formation energy is -523 meV per atom.

***

Entry 2:
Here is a geometry-optimized RbMnW2S8 structure from Alexandria. Energies are from PBE.

a b c (Å): 10.1612 10.1612 10.1612
angles (deg): 35.69 35.69 35.69
With the nearest neighbours (Å) after each atom.
Element x y z (fractional)
Rb: 0.0000 0.0000 0.0000  12 S 3.62-3.93
Mn: 0.5000 0.5000 0.5000  6 S 2.46
W: 0.2414 0.2414 0.2414  4 S 2.18-2.22
W: 0.7586 0.7586 0.7586  4 S 2.18-2.22
S: 0.1297 0.7673 0.4504  1 W 2.22, 1 Mn 2.46
S: 0.2327 0.5496 0.8703  1 W 2.22, 1 Mn 2.46
S: 0.3178 0.3178 0.3178  1 W 2.18
S: 0.4504 0.1297 0.7673  1 W 2.22, 1 Mn 2.46
S: 0.5496 0.8703 0.2327  1 W 2.22, 1 Mn 2.46
S: 0.6822 0.6822 0.6822  1 W 2.18
S: 0.7673 0.4504 0.1297  1 W 2.22, 1 Mn 2.46
S: 0.8703 0.2327 0.5496  1 W 2.22, 1 Mn 2.46

For the density of states at the Fermi level, the calculation gives 0.402 states/eV/atom. Its uncorrected formation energy is -514 meV per atom.

***

Entry 3:
Here is a geometry-optimized Rb3Y3MnS8 structure from Alexandria. Energies are from PBE.

a b c (Å): 9.0515 9.0515 9.0515
angles (deg): 51.56 51.56 51.56
With the nearest neighbours (Å) after each atom.
Element x y z (fractional)
Rb: 0.0000 0.5000 0.5000  6 S 3.31-3.33
Rb: 0.5000 0.0000 0.5000  6 S 3.31-3.33
Rb: 0.5000 0.5000 0.0000  6 S 3.31-3.33
Y: 0.0000 0.0000 0.5000  6 S 2.73-2.77
Y: 0.0000 0.5000 0.0000  6 S 2.73-2.77
Y: 0.5000 0.0000 0.0000  6 S 2.73-2.77
Mn: 0.5000 0.5000 0.5000  6 S 2.46
S: 0.2311 0.2311 0.2311  3 Y 2.73
S: 0.2600 0.7079 0.7079  1 Mn 2.46
S: 0.2921 0.2921 0.7400  1 Mn 2.46
S: 0.2921 0.7400 0.2921  1 Mn 2.46
S: 0.7079 0.2600 0.7079  1 Mn 2.46
S: 0.7079 0.7079 0.2600  1 Mn 2.46
S: 0.7400 0.2921 0.2921  1 Mn 2.46
S: 0.7689 0.7689 0.7689  3 Y 2.73

Its uncorrected formation energy is -1533 meV per atom.

***

What is the formula in the second record? RbMnW2S8